# GGA-PBE Ca2AsIr, optimized geometry
data_Ca2AsIr
_chemical_formula_sum 'Ca2 As1 Ir1'
_space_group_name_H-M_alt 'P 4 m m'
_space_group_IT_number 99
_space_group_name_Hall 'P 4 -2'
_cell_length_a 4.088
_cell_length_b 4.088
_cell_length_c 5.982
_cell_angle_alpha 90.00
_cell_angle_beta 90.00
_cell_angle_gamma 90.00
loop_
_atom_site_label
_atom_site_type_symbol
_atom_site_fract_x
_atom_site_fract_y
_atom_site_fract_z
Ca1 Ca 0.000 0.000 0.000
Ca2 Ca 0.500 0.500 0.394
As1 As 0.500 0.500 0.878
Ir1 Ir 0.000 0.000 0.509
# Electronic total energy: -4.453 eV/atom
# Crystal system: tetragonal

---

# GGA-PBE CaAsIr2, optimized geometry
data_CaAsIr2
_chemical_formula_sum 'Ca2 As2 Ir4'
_space_group_name_H-M_alt 'I m m 2'
_space_group_IT_number 44
_space_group_name_Hall 'I 2 -2'
_cell_length_a 3.009
_cell_length_b 4.794
_cell_length_c 9.748
_cell_angle_alpha 90.00
_cell_angle_beta 90.00
_cell_angle_gamma 90.00
loop_
_atom_site_label
_atom_site_type_symbol
_atom_site_fract_x
_atom_site_fract_y
_atom_site_fract_z
Ca1 Ca 0.000 0.000 0.000
As1 As 0.000 0.500 0.229
Ir1 Ir 0.000 0.000 0.525
Ir2 Ir 0.000 0.500 0.787
# Electronic total energy: -6.190 eV/atom
# Crystal system: orthorhombic

---

# GGA-PBE Ca2AsIr, optimized geometry
data_Ca2AsIr
_chemical_formula_sum 'Ca2 As1 Ir1'
_space_group_name_H-M_alt 'P 1 m 1'
_space_group_IT_number 6
_space_group_name_Hall 'P -2y'
_cell_length_a 4.470
_cell_length_b 4.058
_cell_length_c 5.728
_cell_angle_alpha 90.00
_cell_angle_beta 112.95
_cell_angle_gamma 90.00
loop_
_atom_site_label
_atom_site_type_symbol
_atom_site_fract_x
_atom_site_fract_y
_atom_site_fract_z
Ca1 Ca 0.000 0.000 0.000
Ca2 Ca 0.286 0.500 0.571
As1 As 0.582 0.500 0.164
Ir1 Ir 0.713 0.000 0.423
# Electronic total energy: -5.068 eV/atom
# Crystal system: monoclinic

---

# GGA-PBE CaAsIr2, optimized geometry
data_CaAsIr2
_chemical_formula_sum 'Ca2 As2 Ir4'
_space_group_name_H-M_alt 'C 1 m 1'
_space_group_IT_number 8
_space_group_name_Hall 'C -2y'
_cell_length_a 7.580
_cell_length_b 4.282
_cell_length_c 5.668
_cell_angle_alpha 90.00
_cell_angle_beta 115.89
_cell_angle_gamma 90.00
loop_
_atom_site_label
_atom_site_type_symbol
_atom_site_fract_x
_atom_site_fract_y
_atom_site_fract_z
Ca1 Ca 0.000 0.000 0.000
As1 As 0.297 0.500 0.383
Ir1 Ir 0.031 0.500 0.596
Ir2 Ir 0.206 0.000 0.606
# Electronic total energy: -6.380 eV/atom
# Crystal system: monoclinic

---

# GGA-PBE CaAsIr2, optimized geometry
data_CaAsIr2
_chemical_formula_sum 'Ca1 As1 Ir2'
_space_group_name_H-M_alt 'P 4/m m m'
_space_group_IT_number 123
_space_group_name_Hall '-P 4 2'
_cell_length_a 3.030
_cell_length_b 3.030
_cell_length_c 7.572
_cell_angle_alpha 90.00
_cell_angle_beta 90.00
_cell_angle_gamma 90.00
loop_
_atom_site_label
_atom_site_type_symbol
_atom_site_fract_x
_atom_site_fract_y
_atom_site_fract_z
Ca1 Ca 0.000 0.000 0.000
As1 As 0.000 0.000 0.500
Ir1 Ir 0.500 0.500 0.300
# Electronic total energy: -6.194 eV/atom
# Crystal system: tetragonal

---

# GGA-PBE CaAsIr2, optimized geometry
data_CaAsIr2
_chemical_formula_sum 'Ca2 As2 Ir4'
_space_group_name_H-M_alt 'I 4/m m m'
_space_group_IT_number 139
_space_group_name_Hall '-I 4 2'
_cell_length_a 4.173
_cell_length_b 4.173
_cell_length_c 7.796
_cell_angle_alpha 90.00
_cell_angle_beta 90.00
_cell_angle_gamma 90.00
loop_
_atom_site_label
_atom_site_type_symbol
_atom_site_fract_x
_atom_site_fract_y
_atom_site_fract_z
Ca1 Ca 0.000 0.000 0.000
As1 As 0.000 0.000 0.500
Ir1 Ir 0.000 0.500 0.250
# Electronic total energy: -6.103 eV/atom
# Crystal system: tetragonal